1.
# LiSmGaRu (PBE, optimized geometry)
data_LiSmGaRu
_cell_length_a 6.592
_cell_length_b 6.592
_cell_length_c 6.592
_cell_angle_alpha 90.00
_cell_angle_beta 90.00
_cell_angle_gamma 90.00
_space_group_name_H-M_alt 'F -4 3 m'
_space_group_IT_number 216
_space_group_name_Hall 'F -4 2 3'
loop_
_atom_site_label
_atom_site_type_symbol
_atom_site_fract_x
_atom_site_fract_y
_atom_site_fract_z
Li1 Li 0.000 0.000 0.000
Sm1 Sm 0.250 0.250 0.250
Ga1 Ga 0.250 0.250 0.750
Ru1 Ru 0.000 0.000 0.500
# Energy relative to the elements: -0.252 eV per atom
# DOS(E_F): 9.95 states/eV/cell

2.
# CaY3Ir (PBE, optimized geometry)
data_CaY3Ir
_cell_length_a 5.592
_cell_length_b 5.592
_cell_length_c 24.746
_cell_angle_alpha 90.00
_cell_angle_beta 90.00
_cell_angle_gamma 90.00
_space_group_name_H-M_alt 'I -4 m 2'
_space_group_IT_number 119
_space_group_name_Hall 'I -4 -2'
loop_
_atom_site_label
_atom_site_type_symbol
_atom_site_fract_x
_atom_site_fract_y
_atom_site_fract_z
Ca1 Ca 0.000 0.000 0.000
Ca2 Ca 0.000 0.500 0.250
Y1 Y 0.000 0.000 0.299
Y2 Y 0.000 0.234 0.139
Ir1 Ir 0.000 0.500 0.697
# Energy relative to the elements: 0.714 eV per atom
# DOS(E_F): 25.94 states/eV/cell
# Energy above the lowest structure with this stoichiometry: 5.589 eV per formula unit

3.
# HoErSiIr (PBE, optimized geometry)
data_HoErSiIr
_cell_length_a 3.949
_cell_length_b 4.152
_cell_length_c 10.501
_cell_angle_alpha 90.00
_cell_angle_beta 90.00
_cell_angle_gamma 90.00
_space_group_name_H-M_alt 'A m m 2'
_space_group_IT_number 38
loop_
_space_group_symop_operation_xyz
'x,y,z'
'-x,-y,z'
'-x,y,z'
'x,-y,z'
'x,y+1/2,z+1/2'
'-x,-y+1/2,z+1/2'
'-x,y+1/2,z+1/2'
'x,-y+1/2,z+1/2'
loop_
_atom_site_label
_atom_site_type_symbol
_atom_site_fract_x
_atom_site_fract_y
_atom_site_fract_z
Ho1 Ho 0.000 0.000 0.000
Er1 Er 0.500 0.000 0.283
Si1 Si 0.500 0.000 0.575
Ir1 Ir 0.000 0.000 0.720
# DOS(E_F): 4.46 states/eV/cell
# Uncorrected formation energy: -886 meV per atom

4.
# YZr2Sc4 (PBE, optimized geometry)
data_YZr2Sc4
_cell_length_a 5.488
_cell_length_b 3.276
_cell_length_c 10.504
_cell_angle_alpha 90.00
_cell_angle_beta 98.98
_cell_angle_gamma 90.00
_space_group_name_H-M_alt 'P 1 2/m 1'
_space_group_IT_number 10
loop_
_space_group_symop_operation_xyz
'x,y,z'
'-x,-y,-z'
'-x,y,-z'
'x,-y,z'
loop_
_atom_site_label
_atom_site_type_symbol
_atom_site_fract_x
_atom_site_fract_y
_atom_site_fract_z
Y1 Y 0.000 0.000 0.000
Zr1 Zr 0.000 0.000 0.500
Zr2 Zr 0.500 0.500 0.500
Sc1 Sc 0.091 0.500 0.269
Sc2 Sc 0.422 0.000 0.766
# Energy relative to the elements: 0.187 eV per atom
# DOS(E_F): 12.00 states/eV/cell

5.
# Tb6Ho2TmSc (PBE, optimized geometry)
data_Tb6Ho2TmSc
_cell_length_a 9.018
_cell_length_b 14.821
_cell_length_c 9.408
_cell_angle_alpha 90.00
_cell_angle_beta 97.59
_cell_angle_gamma 90.00
_space_group_name_H-M_alt 'C 1 2/c 1'
_space_group_IT_number 15
loop_
_space_group_symop_operation_xyz
'x,y,z'
'-x,-y,-z'
'-x,y,-z+1/2'
'x,-y,z+1/2'
'x+1/2,y+1/2,z'
'-x+1/2,-y+1/2,-z'
'-x+1/2,y+1/2,-z+1/2'
'x+1/2,-y+1/2,z+1/2'
loop_
_atom_site_label
_atom_site_type_symbol
_atom_site_fract_x
_atom_site_fract_y
_atom_site_fract_z
Tb1 Tb 0.060 0.185 0.446
Tb2 Tb 0.101 0.393 0.617
Tb3 Tb 0.214 0.220 0.810
Ho1 Ho 0.249 0.449 0.954
Tm1 Tm 0.000 0.022 0.750
Sc1 Sc 0.000 0.413 0.250
# Energy relative to the elements: 0.126 eV per atom
# DOS(E_F): 51.80 states/eV/cell

6.
# SrTl2W (PBE, optimized geometry)
data_SrTl2W
_cell_length_a 3.241
_cell_length_b 4.119
_cell_length_c 7.351
_cell_angle_alpha 90.00
_cell_angle_beta 90.00
_cell_angle_gamma 90.00
_space_group_name_H-M_alt 'P m m m'
_space_group_IT_number 47
loop_
_space_group_symop_operation_xyz
'x,y,z'
'-x,-y,-z'
'-x,-y,z'
'x,y,-z'
'x,-y,-z'
'-x,y,z'
'-x,y,-z'
'x,-y,z'
loop_
_atom_site_label
_atom_site_type_symbol
_atom_site_fract_x
_atom_site_fract_y
_atom_site_fract_z
Sr1 Sr 0.000 0.000 0.000
Tl1 Tl 0.500 0.500 0.290
W1 W 0.000 0.000 0.500
# Energy relative to the elements: 0.626 eV per atom
# DOS(E_F): 2.96 states/eV/cell
# Energy above the lowest structure with this stoichiometry: 0.071 eV per formula unit